Entry 1:
KMnIrS2 | PBE | relaxed

Output
Magnetic moment (Bohr magnetons per cell): 0.00
Mass density (g/cm³): 6.15
Formation energy from raw total energies (kJ per mole of atoms): 108.33
Crystal system: tetragonal

Cell: 4.392 4.907 4.392 Å, 90.00 90.00 90.00°
Fractional positions:
K: 0.000 0.500 0.000
Ir: 0.500 0.500 0.500
S: 0.000 0.000 0.500
S: 0.500 0.000 0.000
Mn: 0.000 0.000 0.000

***

Entry 2:
KMn2SnIr | PBE | relaxed

Output
Magnetic moment (Bohr magnetons per cell): 8.66
Mass density (g/cm³): 5.13
DFT formation energy (eV/atom): 0.94
Crystal system: tetragonal

Cell: 5.042 5.855 5.042 Å, 90.00 90.00 90.00°
Each line ends with the local moment (μB).
Fractional positions:
K: 0.000 0.500 0.000  -0.01
Ir: 0.000 0.000 0.000  0.31
Sn: 0.500 0.500 0.500  -0.29
Mn: 0.000 0.000 0.500  4.08
Mn: 0.500 0.000 0.000  4.24

***

Entry 3:
KSr2MnIr | PBE | relaxed

Output
Magnetic moment (Bohr magnetons per cell): 4.44
Mass density (g/cm³): 3.77
DFT formation energy (eV/atom): 0.63
Crystal system: tetragonal

Cell: 5.763 6.113 5.763 Å, 90.00 90.00 90.00°
Each line ends with the local moment (μB).
Fractional positions:
Sr: 0.000 0.000 0.500  -0.02
Sr: 0.500 0.000 0.000  -0.02
K: 0.000 0.500 0.000  -0.01
Ir: 0.000 0.000 0.000  0.03
Mn: 0.500 0.500 0.500  4.33

***

Entry 4:
KZr2MnIr | PBE | relaxed

Output
Magnetic moment (Bohr magnetons per cell): 0.29
Mass density (g/cm³): 7.17
DFT formation energy (eV/atom): 1.17
Crystal system: tetragonal

Cell: 4.766 4.778 4.766 Å, 90.00 90.00 90.00°
Each line ends with the local moment (μB).
Fractional positions:
Mn: 0.000 0.000 0.000  0.45
K: 0.000 0.500 0.000  0.01
Ir: 0.500 0.500 0.500  0.00
Zr: 0.000 0.000 0.500  -0.07
Zr: 0.500 0.000 0.000  -0.06

***

Entry 5:
KMo2Ir | PBE | relaxed

Output
Magnetic moment (Bohr magnetons per cell): 0.00
Mass density (g/cm³): 7.32
Energy above the most stable polymorph in this dataset (eV/f.u.): 0.76
DFT formation energy (eV/atom): 0.79
Crystal system: monoclinic

Cell: 4.862 4.862 7.071 Å, 80.43 80.43 35.71°
Fractional positions:
Ir: 0.472 0.472 0.614
K: 0.244 0.244 0.261
Mo: 0.043 0.043 0.886
Mo: 0.741 0.741 0.738

***

Entry 6:
KMo2Ir | PBE | relaxed

Output
Magnetic moment (Bohr magnetons per cell): 0.00
Mass density (g/cm³): 8.92
Energy above the most stable polymorph in this dataset (eV/f.u.): 1.10
DFT formation energy (eV/atom): 0.87
Crystal system: orthorhombic

Cell: 6.297 6.297 6.297 Å, 155.49 130.15 56.32°
Fractional positions:
Ir: 0.750 0.250 0.500
K: 0.250 0.750 0.500
Mo: 0.955 0.955 0.000
Mo: 0.545 0.545 0.000

***

Entry 7:
KMoIr2 | PBE | relaxed

Output
Magnetic moment (Bohr magnetons per cell): 0.00
Mass density (g/cm³): 12.51
Energy above the most stable polymorph in this dataset (eV/f.u.): 3.10
DFT formation energy (eV/atom): 1.07
Crystal system: cubic

Cell: 4.603 4.603 4.603 Å, 60.00 60.00 60.00°
Fractional positions:
Mo: 0.500 0.500 0.500
Ir: 0.250 0.250 0.250
Ir: 0.750 0.750 0.750
K: 0.000 0.000 0.000

***

Entry 8:
K2MoIr | PBE | relaxed

Output
Magnetic moment (Bohr magnetons per cell): 0.00
Mass density (g/cm³): 7.26
Energy above the most stable polymorph in this dataset (eV/f.u.): 2.28
DFT formation energy (eV/atom): 1.15
Crystal system: orthorhombic

Cell: 2.794 2.794 11.851 Å, 90.00 90.00 115.15°
Fractional positions:
Ir: 0.500 0.500 0.750
K: 0.000 0.000 0.981
K: 0.000 0.000 0.519
Mo: 0.500 0.500 0.250